Record 1
# PBE-GGA Sr2YTcS6, optimized geometry
# Symmetry: No. 2
# Final energy, eV per cell: -58.08
# Total magnetic moment, μB per formula unit: 2.0
data_Sr2YTcS6
_cell_length_a 6.790
_cell_length_b 6.907
_cell_length_c 6.946
_cell_angle_alpha 90.96
_cell_angle_beta 118.00
_cell_angle_gamma 119.04
_symmetry_space_group_name_H-M 'P 1'
_symmetry_Int_Tables_number 1
_symmetry_space_group_name_Hall 'P 1'
loop_
_atom_site_label
_atom_site_fract_x
_atom_site_fract_y
_atom_site_fract_z
_atom_site_occupancy
Sr1 0.008 0.244 0.276 1
Sr2 0.992 0.756 0.724 1
Y1 0.500 0.500 0.000 1
Tc1 0.500 0.000 0.500 1
S1 0.024 0.819 0.309 1
S2 0.415 0.786 0.164 1
S3 0.476 0.690 0.662 1
S4 0.524 0.310 0.338 1
S5 0.585 0.214 0.836 1
S6 0.976 0.181 0.691 1


Record 2
# PBE-GGA Er3Te5Pd, optimized geometry
# Excess energy over the best structure of this formula in the dataset, kJ/mol of formula units: 0
# Symmetry: No. 189
# Total magnetic moment, μB per formula unit: 0.1
data_Er3Te5Pd
_cell_length_a 8.683
_cell_length_b 8.683
_cell_length_c 4.010
_cell_angle_alpha 90.00
_cell_angle_beta 90.00
_cell_angle_gamma 120.00
_symmetry_space_group_name_H-M 'P 1'
_symmetry_Int_Tables_number 1
_symmetry_space_group_name_Hall 'P 1'
loop_
_atom_site_label
_atom_site_fract_x
_atom_site_fract_y
_atom_site_fract_z
_atom_site_occupancy
Er1 0.000 0.276 0.000 1
Er2 0.276 0.000 0.000 1
Er3 0.724 0.724 0.000 1
Te1 0.000 0.699 0.500 1
Te2 0.301 0.301 0.500 1
Te3 0.333 0.667 0.000 1
Te4 0.667 0.333 0.000 1
Te5 0.699 0.000 0.500 1
Pd1 0.000 0.000 0.500 1


Record 3
# PBE-GGA InFePtW, optimized geometry
# Excess energy over the best structure of this formula in the dataset, kJ/mol of formula units: 61
# Symmetry: No. 216
# Total magnetic moment, μB per formula unit: 1.5
data_InFePtW
_cell_length_a 4.496
_cell_length_b 4.496
_cell_length_c 4.496
_cell_angle_alpha 60.00
_cell_angle_beta 60.00
_cell_angle_gamma 60.00
_symmetry_space_group_name_H-M 'P 1'
_symmetry_Int_Tables_number 1
_symmetry_space_group_name_Hall 'P 1'
loop_
_atom_site_label
_atom_site_fract_x
_atom_site_fract_y
_atom_site_fract_z
_atom_site_occupancy
In1 0.000 0.000 0.000 1
Fe1 0.250 0.250 0.250 1
Pt1 0.500 0.500 0.500 1
W1 0.750 0.750 0.750 1


Record 4
# PBE-GGA DySe2, optimized geometry
# Symmetry: No. 227
# Final energy, eV per cell: -28.19
# Total magnetic moment, μB per formula unit: 1.0
data_DySe2
_cell_length_a 8.759
_cell_length_b 8.759
_cell_length_c 8.759
_cell_angle_alpha 60.00
_cell_angle_beta 60.00
_cell_angle_gamma 60.00
_symmetry_space_group_name_H-M 'P 1'
_symmetry_Int_Tables_number 1
_symmetry_space_group_name_Hall 'P 1'
loop_
_atom_site_label
_atom_site_fract_x
_atom_site_fract_y
_atom_site_fract_z
_atom_site_occupancy
Dy1 0.125 0.125 0.125 1
Dy2 0.875 0.875 0.875 1
Se1 0.000 0.000 0.000 1
Se2 0.000 0.000 0.500 1
Se3 0.000 0.500 0.000 1
Se4 0.500 0.000 0.000 1


Record 5
# PBE-GGA Zr4CuSN2, optimized geometry
# Symmetry: No. 187
# Final energy, eV per cell: -68.36
# Total magnetic moment, μB per formula unit: 0.1
data_Zr4CuSN2
_cell_length_a 3.331
_cell_length_b 3.331
_cell_length_c 12.752
_cell_angle_alpha 90.00
_cell_angle_beta 90.00
_cell_angle_gamma 120.00
_symmetry_space_group_name_H-M 'P 1'
_symmetry_Int_Tables_number 1
_symmetry_space_group_name_Hall 'P 1'
loop_
_atom_site_label
_atom_site_fract_x
_atom_site_fract_y
_atom_site_fract_z
_atom_site_occupancy
Zr1 0.000 0.000 0.143 1
Zr2 0.000 0.000 0.857 1
Zr3 0.333 0.667 0.339 1
Zr4 0.333 0.667 0.661 1
Cu1 0.000 0.000 0.500 1
S1 0.333 0.667 0.000 1
N1 0.667 0.333 0.244 1
N2 0.667 0.333 0.756 1


Record 6
# PBE-GGA Cs2Hg, optimized geometry
# Excess energy over the best structure of this formula in the dataset, kJ/mol of formula units: 0
# Symmetry: No. 12
data_Cs2Hg
_cell_length_a 8.879
_cell_length_b 8.879
_cell_length_c 12.528
_cell_angle_alpha 93.59
_cell_angle_beta 93.59
_cell_angle_gamma 35.59
_symmetry_space_group_name_H-M 'P 1'
_symmetry_Int_Tables_number 1
_symmetry_space_group_name_Hall 'P 1'
loop_
_atom_site_label
_atom_site_fract_x
_atom_site_fract_y
_atom_site_fract_z
_atom_site_occupancy
Cs1 0.073 0.073 0.227 1
Cs2 0.348 0.348 0.443 1
Cs3 0.352 0.352 0.074 1
Cs4 0.648 0.648 0.926 1
Cs5 0.652 0.652 0.557 1
Cs6 0.927 0.927 0.773 1
Hg1 0.000 0.000 0.500 1
Hg2 0.259 0.259 0.760 1
Hg3 0.741 0.741 0.240 1


Record 7
# PBE-GGA YHoCo2C2N2, optimized geometry
# Symmetry: No. 99
# Final energy, eV per cell: -66.04
# Total magnetic moment, μB per formula unit: 0.0
data_YHoCo2C2N2
_cell_length_a 3.437
_cell_length_b 3.437
_cell_length_c 7.260
_cell_angle_alpha 90.00
_cell_angle_beta 90.00
_cell_angle_gamma 90.00
_symmetry_space_group_name_H-M 'P 1'
_symmetry_Int_Tables_number 1
_symmetry_space_group_name_Hall 'P 1'
loop_
_atom_site_label
_atom_site_fract_x
_atom_site_fract_y
_atom_site_fract_z
_atom_site_occupancy
Y1 0.000 0.000 0.000 1
Ho1 0.500 0.500 0.650 1
Co1 0.000 0.500 0.325 1
Co2 0.500 0.000 0.325 1
C1 0.000 0.000 0.476 1
C2 0.500 0.500 0.174 1
N1 0.000 0.000 0.674 1
N2 0.500 0.500 0.975 1


Record 8
# PBE-GGA Er2Mg3Ir, optimized geometry
# Symmetry: No. 194
# Final energy, eV per cell: -48.55
# Total magnetic moment, μB per formula unit: 0.0
data_Er2Mg3Ir
_cell_length_a 5.653
_cell_length_b 5.653
_cell_length_c 9.387
_cell_angle_alpha 90.00
_cell_angle_beta 90.00
_cell_angle_gamma 120.00
_symmetry_space_group_name_H-M 'P 1'
_symmetry_Int_Tables_number 1
_symmetry_space_group_name_Hall 'P 1'
loop_
_atom_site_label
_atom_site_fract_x
_atom_site_fract_y
_atom_site_fract_z
_atom_site_occupancy
Er1 0.333 0.667 0.054 1
Er2 0.333 0.667 0.446 1
Er3 0.667 0.333 0.554 1
Er4 0.667 0.333 0.946 1
Mg1 0.163 0.325 0.750 1
Mg2 0.163 0.837 0.750 1
Mg3 0.325 0.163 0.250 1
Mg4 0.675 0.837 0.750 1
Mg5 0.837 0.163 0.250 1
Mg6 0.837 0.675 0.250 1
Ir1 0.000 0.000 0.000 1
Ir2 0.000 0.000 0.500 1


Record 9
# PBE-GGA Sr2ScMo, optimized geometry
# Symmetry: No. 216
# Final energy, eV per cell: -17.14
# Total magnetic moment, μB per formula unit: 0.9
data_Sr2ScMo
_cell_length_a 5.374
_cell_length_b 5.374
_cell_length_c 5.374
_cell_angle_alpha 60.00
_cell_angle_beta 60.00
_cell_angle_gamma 60.00
_symmetry_space_group_name_H-M 'P 1'
_symmetry_Int_Tables_number 1
_symmetry_space_group_name_Hall 'P 1'
loop_
_atom_site_label
_atom_site_fract_x
_atom_site_fract_y
_atom_site_fract_z
_atom_site_occupancy
Sr1 0.000 0.000 0.000 1
Sr2 0.250 0.250 0.250 1
Sc1 0.500 0.500 0.500 1
Mo1 0.750 0.750 0.750 1


Record 10
# PBE-GGA AcPrEr, optimized geometry
# Excess energy over the best structure of this formula in the dataset, kJ/mol of formula units: 0
# Symmetry: No. 216
# Calculated formation energy, eV per formula unit: 1.91
# Total magnetic moment, μB per formula unit: 0.0
data_AcPrEr
_cell_length_a 5.690
_cell_length_b 5.690
_cell_length_c 5.690
_cell_angle_alpha 60.00
_cell_angle_beta 60.00
_cell_angle_gamma 60.00
_symmetry_space_group_name_H-M 'P 1'
_symmetry_Int_Tables_number 1
_symmetry_space_group_name_Hall 'P 1'
loop_
_atom_site_label
_atom_site_fract_x
_atom_site_fract_y
_atom_site_fract_z
_atom_site_occupancy
Ac1 0.000 0.000 0.000 1
Pr1 0.500 0.500 0.500 1
Er1 0.250 0.250 0.250 1


Record 11
# PBE-GGA Nb, optimized geometry
# Excess energy over the best structure of this formula in the dataset, kJ/mol of formula units: 21
# Symmetry: No. 213
# Calculated formation energy, eV per formula unit: 0.21
# Total magnetic moment, μB per formula unit: 0.0
data_Nb
_cell_length_a 7.230
_cell_length_b 7.230
_cell_length_c 7.230
_cell_angle_alpha 90.00
_cell_angle_beta 90.00
_cell_angle_gamma 90.00
_symmetry_space_group_name_H-M 'P 1'
_symmetry_Int_Tables_number 1
_symmetry_space_group_name_Hall 'P 1'
loop_
_atom_site_label
_atom_site_fract_x
_atom_site_fract_y
_atom_site_fract_z
_atom_site_occupancy
Nb1 0.045 0.125 0.795 1
Nb2 0.066 0.934 0.434 1
Nb3 0.125 0.795 0.045 1
Nb4 0.184 0.184 0.184 1
Nb5 0.205 0.545 0.375 1
Nb6 0.295 0.455 0.875 1
Nb7 0.316 0.816 0.684 1
Nb8 0.375 0.205 0.545 1
Nb9 0.434 0.066 0.934 1
Nb10 0.455 0.875 0.295 1
Nb11 0.545 0.375 0.205 1
Nb12 0.566 0.566 0.566 1
Nb13 0.625 0.705 0.955 1
Nb14 0.684 0.316 0.816 1
Nb15 0.705 0.955 0.625 1
Nb16 0.795 0.045 0.125 1
Nb17 0.816 0.684 0.316 1
Nb18 0.875 0.295 0.455 1
Nb19 0.934 0.434 0.066 1
Nb20 0.955 0.625 0.705 1


Record 12
# PBE-GGA GdYAs, optimized geometry
# Excess energy over the best structure of this formula in the dataset, kJ/mol of formula units: 0
# Symmetry: No. 216
# Total magnetic moment, μB per formula unit: 0.0
data_GdYAs
_cell_length_a 4.841
_cell_length_b 4.841
_cell_length_c 4.841
_cell_angle_alpha 60.00
_cell_angle_beta 60.00
_cell_angle_gamma 60.00
_symmetry_space_group_name_H-M 'P 1'
_symmetry_Int_Tables_number 1
_symmetry_space_group_name_Hall 'P 1'
loop_
_atom_site_label
_atom_site_fract_x
_atom_site_fract_y
_atom_site_fract_z
_atom_site_occupancy
Gd1 0.000 0.000 0.000 1
Y1 0.500 0.500 0.500 1
As1 0.250 0.250 0.250 1